(1)
Here is TaIn2Te after structural relaxation from Alexandria via LeMat-Bulk. Energies are from PBEsol.

Calculated values
Final energy   -20.5 eV/cell
Theoretical density   9.781 g/cm³
Symmetry   P2/m, No. 10
Size of the total moment   0.0 μB/cell
Formation energy without anion corrections   0.38 eV per atom
Energy above the most stable polymorph in this dataset   21.5 kJ per mole of atoms

a = 3.201 Å, b = 5.309 Å, c = 5.427 Å
α = 90.00°, β = 97.85°, γ = 90.00°
Atoms (fractional coordinates):
In  0.160  0.000  0.764
In  0.840  0.000  0.236
Ta  0.500  0.500  0.000
Te  0.500  0.500  0.500


(2)
Here is BaCuSi3 after structural relaxation from Alexandria via LeMat-Bulk. Energies are from PBEsol.

Calculated values
Final energy   -12.8 eV/cell
Theoretical density   2.902 g/cm³
Symmetry   Pm-3m, No. 221
Size of the total moment   0.0 μB/cell
Formation energy without anion corrections   2.18 eV per atom

a = 5.464 Å, b = 5.464 Å, c = 5.464 Å
α = 90.00°, β = 90.00°, γ = 90.00°
Atoms (fractional coordinates):
Si  0.000  0.500  0.000
Si  0.000  0.000  0.500
Si  0.500  0.000  0.000
Ba  0.000  0.000  0.000
Cu  0.500  0.500  0.500


(3)
Here is Re2TeW after structural relaxation from Alexandria via LeMat-Bulk. Energies are from PBEsol.

Calculated values
Final energy   -40.7 eV/cell
Theoretical density   17.683 g/cm³
Symmetry   I-4m2, No. 119
Size of the total moment   0.0 μB/cell
Formation energy without anion corrections   0.81 eV per atom

a = 3.871 Å, b = 3.871 Å, c = 5.085 Å
α = 112.37°, β = 112.37°, γ = 90.00°
Atoms (fractional coordinates):
Re  0.000  0.000  0.000
Re  0.750  0.250  0.500
Te  0.500  0.500  0.000
W  0.250  0.750  0.500


(4)
Here is TeP2WO after structural relaxation from Alexandria via LeMat-Bulk. Energies are from PBEsol.

Calculated values
Final energy   -29.9 eV/cell
Theoretical density   6.011 g/cm³
Symmetry   P4/mmm, No. 123
Size of the total moment   0.3 μB/cell
Formation energy without anion corrections   0.85 eV per atom

a = 4.492 Å, b = 4.492 Å, c = 5.330 Å
α = 90.00°, β = 90.00°, γ = 90.00°
Atoms (fractional coordinates):
P  0.000  0.500  0.000
P  0.500  0.000  0.000
Te  0.000  0.000  0.500
O  0.500  0.500  0.500
W  0.000  0.000  0.000